Density functional theory data (PBE-GGA) for a relaxed structure of InB3Ru.

Output
Formation energy from the elements = 4.7 eV/f.u.
Energy above the most stable polymorph in this dataset = 0.0 meV/atom
Size of the total moment = 0.0 Bohr magnetons per cell

Cell: 4.189 4.189 4.189 Å, 90.00 90.00 90.00°
Atoms (fractional coordinates):
In1 0.000 0.000 0.000
B1 0.000 0.500 0.500
B2 0.500 0.000 0.500
B3 0.500 0.500 0.000
Ru1 0.500 0.500 0.500